DFT (PBE) results for a relaxed structure of Y2TlCo.

Results
- Formation enthalpy at 0 K: -0.128 eV/atom
- N(E_F): 5.2 states/eV per cell

Lattice parameters (Å, degrees): 7.1686 7.1764 3.6823 90.00 90.00 90.00
Space group Cmmm (No. 65)
Inequivalent atoms, fractional coordinates:
Y 0.2500 0.2500 0.0000 [4 per cell]
Tl 0.0000 0.0000 0.5000 [2 per cell]
Co 0.0000 0.5000 0.5000 [2 per cell]